VASP calculation (PBE-GGA) on crystalline PmHo2Th2 at its relaxed geometry.

a = 14.6478 Å, b = 14.6478 Å, c = 14.6478 Å
α = 14.04°, β = 14.04°, γ = 14.04°
Element x y z (fractional)
Pm: 0.0000 0.0000 0.0000
Ho: 0.4012 0.4012 0.4012
Ho: 0.5988 0.5988 0.5988
Th: 0.1992 0.1992 0.1992
Th: 0.8008 0.8008 0.8008

Results
calculated total energy: -5.73 eV/atom
ΔH_f (0 K): 0.016 eV per atom
total magnetization: 0.00 μB per formula unit
offset from the most stable computed form: 0 meV per atom
space-group type: R-3m, No. 166

VASP calculation (PBE-GGA) on crystalline KNp3P4N12 at its relaxed geometry.

a = 6.9329 Å, b = 6.9329 Å, c = 6.9329 Å
α = 102.97°, β = 102.97°, γ = 102.97°
Element x y z (fractional)
K: 0.0000 0.0000 0.0000
Np: 0.0000 0.5534 0.4466
Np: 0.4466 0.0000 0.5534
Np: 0.5534 0.4466 0.0000
P: 0.0560 0.5000 0.9440
P: 0.5000 0.5000 0.5000
P: 0.5000 0.9440 0.0560
P: 0.9440 0.0560 0.5000
N: 0.0184 0.6063 0.7666
N: 0.0917 0.9083 0.5000
N: 0.2334 0.3937 0.9816
N: 0.3537 0.6463 0.5000
N: 0.3937 0.9816 0.2334
N: 0.5000 0.0917 0.9083
N: 0.5000 0.3537 0.6463
N: 0.6063 0.7666 0.0184
N: 0.6463 0.5000 0.3537
N: 0.7666 0.0184 0.6063
N: 0.9083 0.5000 0.0917
N: 0.9816 0.2334 0.3937

Results
calculated total energy: -8.54 eV/atom
formation energy from raw total energies: -9.38 eV per formula unit
total magnetization: 6.00 μB per formula unit
space-group type: R32, No. 155

VASP calculation (PBE-GGA) on crystalline Ir3Rh2W2 at its relaxed geometry.

a = 2.7457 Å, b = 2.7823 Å, c = 14.4491 Å
α = 90.00°, β = 95.40°, γ = 90.00°
Element x y z (fractional)
Ir: 0.0000 0.0000 0.0000
Ir: 0.2903 0.0000 0.5810
Ir: 0.7097 0.0000 0.4190
Rh: 0.4215 0.0000 0.8412
Rh: 0.5785 0.0000 0.1588
W: 0.1449 0.5000 0.2896
W: 0.8551 0.5000 0.7104

Results
calculated total energy: -9.51 eV/atom
ΔH_f (0 K): 0.085 eV per atom
total magnetization: 0.41 μB per formula unit
space-group type: P2/m, No. 10

VASP calculation (PBE-GGA) on crystalline KLi3Pd at its relaxed geometry.

a = 4.7284 Å, b = 4.7284 Å, c = 4.7284 Å
α = 90.00°, β = 90.00°, γ = 90.00°
Element x y z (fractional)
K: 0.0000 0.0000 0.0000
Li: 0.0000 0.0000 0.5000
Li: 0.0000 0.5000 0.0000
Li: 0.5000 0.0000 0.0000
Pd: 0.5000 0.5000 0.5000

Results
calculated total energy: -1.61 eV/atom
ΔH_f (0 K): 0.801 eV per atom
total magnetization: 0.00 μB per formula unit
offset from the most stable computed form: 880 meV per atom
space-group type: Pm-3m, No. 221

VASP calculation (PBE-GGA) on crystalline Sr2MgZn9 at its relaxed geometry.

a = 9.4443 Å, b = 9.4443 Å, c = 9.4443 Å
α = 34.51°, β = 34.51°, γ = 34.51°
Element x y z (fractional)
Sr: 0.1401 0.1401 0.1401
Sr: 0.8599 0.8599 0.8599
Mg: 0.0000 0.0000 0.0000
Zn: 0.0762 0.5805 0.5805
Zn: 0.3343 0.3343 0.3343
Zn: 0.4195 0.4195 0.9238
Zn: 0.4195 0.9238 0.4195
Zn: 0.5000 0.5000 0.5000
Zn: 0.5805 0.0762 0.5805
Zn: 0.5805 0.5805 0.0762
Zn: 0.6657 0.6657 0.6657
Zn: 0.9238 0.4195 0.4195

Results
calculated total energy: -1.45 eV/atom
ΔH_f (0 K): -0.079 eV per atom
total magnetization: 0.00 μB per formula unit
space-group type: R-3m, No. 166

VASP calculation (PBE-GGA) on crystalline Te2CS at its relaxed geometry.

a = 7.4748 Å, b = 7.4748 Å, c = 7.4748 Å
α = 35.86°, β = 35.86°, γ = 35.86°
Element x y z (fractional)
Te: 0.0925 0.0925 0.0925
Te: 0.9075 0.9075 0.9075
C: 0.0000 0.0000 0.0000
S: 0.5000 0.5000 0.5000

Results
calculated total energy: -3.79 eV/atom
formation energy from raw total energies: 4.47 eV per formula unit
total magnetization: 0.00 μB per formula unit
offset from the most stable computed form: 71 meV per atom
space-group type: R-3m, No. 166

VASP calculation (PBE-GGA) on crystalline Y2Ta3Ge4 at its relaxed geometry.

a = 7.1595 Å, b = 7.1580 Å, c = 7.0393 Å
α = 90.00°, β = 109.54°, γ = 90.00°
Element x y z (fractional)
Y: 0.1863 0.1707 0.0575
Y: 0.1863 0.3293 0.5575
Y: 0.8137 0.6707 0.4425
Y: 0.8137 0.8293 0.9425
Ta: 0.2558 0.6740 0.2462
Ta: 0.2558 0.8260 0.7462
Ta: 0.5000 0.0000 0.5000
Ta: 0.5000 0.5000 0.0000
Ta: 0.7442 0.1740 0.2538
Ta: 0.7442 0.3260 0.7538
Ge: 0.0854 0.5376 0.8567
Ge: 0.0854 0.9624 0.3567
Ge: 0.4908 0.1319 0.8654
Ge: 0.4908 0.3681 0.3654
Ge: 0.5092 0.6319 0.6347
Ge: 0.5092 0.8681 0.1346
Ge: 0.9146 0.0376 0.6433
Ge: 0.9146 0.4624 0.1433

Results
calculated total energy: -8.09 eV/atom
ΔH_f (0 K): -0.648 eV per atom
total magnetization: 0.00 μB per formula unit
space-group type: P2_1/c, No. 14

VASP calculation (PBE-GGA) on crystalline Ba2Tl2W at its relaxed geometry.

a = 8.4577 Å, b = 8.4577 Å, c = 8.4577 Å
α = 149.43°, β = 149.43°, γ = 43.78°
Element x y z (fractional)
Ba: 0.2500 0.7500 0.5000
Ba: 0.7500 0.2500 0.5000
Tl: 0.0869 0.0869 0.0000
Tl: 0.9131 0.9131 0.0000
W: 0.5000 0.5000 0.0000

Results
calculated total energy: -2.97 eV/atom
ΔH_f (0 K): 1.336 eV per atom
total magnetization: 0.00 μB per formula unit
offset from the most stable computed form: 747 meV per atom
space-group type: I4/mmm, No. 139

VASP calculation (PBE-GGA) on crystalline UTiCo2 at its relaxed geometry.

a = 6.5782 Å, b = 6.5782 Å, c = 6.5782 Å
α = 30.25°, β = 30.25°, γ = 30.25°
Element x y z (fractional)
U: 0.0000 0.0000 0.0000
Ti: 0.5000 0.5000 0.5000
Co: 0.2502 0.2502 0.2502
Co: 0.7498 0.7498 0.7498

Results
calculated total energy: -8.37 eV/atom
ΔH_f (0 K): -0.016 eV per atom
total magnetization: 0.00 μB per formula unit
offset from the most stable computed form: 182 meV per atom
space-group type: R-3m, No. 166

VASP calculation (PBE-GGA) on crystalline MgAgHgRh at its relaxed geometry.

a = 3.9475 Å, b = 4.1865 Å, c = 4.1991 Å
α = 90.00°, β = 90.00°, γ = 90.00°
Element x y z (fractional)
Mg: 0.0000 0.0000 0.0000
Ag: 0.5000 0.0000 0.5000
Hg: 0.0000 0.5000 0.5000
Rh: 0.5000 0.5000 0.0000

Results
calculated total energy: -3.22 eV/atom
ΔH_f (0 K): -0.199 eV per atom
total magnetization: 0.00 μB per formula unit
offset from the most stable computed form: 0 meV per atom
space-group type: Pmmm, No. 47

VASP calculation (PBE-GGA) on crystalline ReMoPS2 at its relaxed geometry.

a = 4.5248 Å, b = 4.5248 Å, c = 4.6282 Å
α = 90.00°, β = 90.00°, γ = 90.00°
Element x y z (fractional)
Re: 0.0000 0.0000 0.0000
Mo: 0.5000 0.5000 0.5000
P: 0.0000 0.0000 0.5000
S: 0.0000 0.5000 0.0000
S: 0.5000 0.0000 0.0000

Results
calculated total energy: -6.38 eV/atom
formation energy from raw total energies: 5.05 eV per formula unit
total magnetization: 3.44 μB per formula unit
offset from the most stable computed form: 0 meV per atom
space-group type: P4/mmm, No. 123

VASP calculation (PBE-GGA) on crystalline CsLaHg2Se4 at its relaxed geometry.

a = 7.4011 Å, b = 7.4011 Å, c = 7.4011 Å
α = 120.78°, β = 108.35°, γ = 99.99°
Element x y z (fractional)
Cs: 0.0000 0.0000 0.0000
La: 0.5000 0.5000 0.0000
Hg: 0.3223 0.8223 0.5000
Hg: 0.6777 0.1777 0.5000
Se: 0.1334 0.0801 0.5830
Se: 0.4971 0.5504 0.4170
Se: 0.5029 0.9199 0.0533
Se: 0.8666 0.4496 0.9467

Results
calculated total energy: -3.46 eV/atom
formation energy from raw total energies: -7.33 eV per formula unit
total magnetization: 0.00 μB per formula unit
space-group type: I222, No. 23